Material: Pr6TeAs4
Method: DFT, PBE-GGA
State: optimized geometry

a b c (Å): 7.4373 7.4373 21.7736
angles (deg): 90.00 90.00 146.35
Closest atoms and distances in Å follow each position.
Atoms (fractional coordinates):
Pr 0.0000 0.0000 0.0000  6 As 3.04-3.05
Pr 0.0000 0.0000 0.5000  6 As 3.04-3.05
Pr 0.1692 0.8308 0.7500  2 As 2.92, 2 Te 3.23
Pr 0.2738 0.7262 0.0804  5 As 2.96-3.04
Pr 0.2738 0.7262 0.4196  5 As 2.96-3.04
Pr 0.4603 0.5397 0.6596  3 As 2.91-2.95
Pr 0.4603 0.5397 0.8404  3 As 2.91-2.95
Pr 0.5397 0.4603 0.1596  3 As 2.91-2.95
Pr 0.5397 0.4603 0.3404  3 As 2.91-2.95
Pr 0.7262 0.2738 0.5804  5 As 2.96-3.04
Pr 0.7262 0.2738 0.9196  5 As 2.96-3.04
Pr 0.8308 0.1692 0.2500  2 As 2.92, 2 Te 3.23
Te 0.1620 0.8380 0.2500  6 Pr 3.23-3.40
Te 0.8380 0.1620 0.7500  6 Pr 3.23-3.40
As 0.0921 0.9079 0.6258  6 Pr 2.92-3.04
As 0.0921 0.9079 0.8742  6 Pr 2.92-3.04
As 0.3629 0.6371 0.5423  6 Pr 2.91-3.05
As 0.3629 0.6371 0.9577  6 Pr 2.91-3.05
As 0.6371 0.3629 0.0423  6 Pr 2.91-3.05
As 0.6371 0.3629 0.4577  6 Pr 2.91-3.05
As 0.9079 0.0921 0.1258  6 Pr 2.92-3.04
As 0.9079 0.0921 0.3742  6 Pr 2.92-3.04

Results
Space group   Cmcm (63)
E_form (uncorrected)   -14.98 eV per formula unit
Electronic total energy   -130.79 eV per cell
M_tot   1.20 Bohr magnetons per cell
Calculated density   6.33 g cm⁻³